{
  "formula": "AcLa2P3Rh12",
  "functional": "PBE",
  "state": "optimized geometry",
  "lattice_angstrom": [[4.533, 2.617, 4.396], [-4.533, 2.617, 4.396], [0.000, -5.235, 4.396]],
  "species": ["Ac", "La", "La", "P", "P", "P", "Rh", "Rh", "Rh", "Rh", "Rh", "Rh", "Rh", "Rh", "Rh", "Rh", "Rh", "Rh"],
  "fractional_positions": [[0.000, 0.000, 0.000], [0.380, 0.380, 0.380], [0.620, 0.620, 0.620], [0.000, 0.000, 0.500], [0.000, 0.500, 0.000], [0.500, 0.000, 0.000], [0.087, 0.642, 0.642], [0.181, 0.181, 0.650], [0.181, 0.650, 0.181], [0.350, 0.819, 0.819], [0.358, 0.358, 0.913], [0.358, 0.913, 0.358], [0.642, 0.087, 0.642], [0.642, 0.642, 0.087], [0.650, 0.181, 0.181], [0.819, 0.350, 0.819], [0.819, 0.819, 0.350], [0.913, 0.358, 0.358]],
  "space_group": "No. 166"
}

{
  "formula": "AcLaP2Rh5",
  "functional": "PBE",
  "state": "optimized geometry",
  "lattice_angstrom": [[4.140, 0.000, 0.000], [0.000, 4.140, 0.000], [0.000, 0.000, 10.836]],
  "species": ["Ac", "La", "P", "P", "Rh", "Rh", "Rh", "Rh", "Rh"],
  "fractional_positions": [[0.000, 0.000, 0.000], [0.000, 0.000, 0.500], [0.500, 0.500, 0.212], [0.500, 0.500, 0.788], [0.000, 0.500, 0.298], [0.000, 0.500, 0.702], [0.500, 0.000, 0.298], [0.500, 0.000, 0.702], [0.500, 0.500, 0.000]],
  "space_group": "No. 123"
}

{
  "formula": "AcLaPRh",
  "functional": "PBE",
  "state": "optimized geometry",
  "lattice_angstrom": [[0.000, 3.683, 3.683], [3.683, 0.000, 3.683], [3.683, 3.683, 0.000]],
  "species": ["Ac", "La", "P", "Rh"],
  "fractional_positions": [[0.000, 0.000, 0.000], [0.500, 0.500, 0.500], [0.250, 0.250, 0.250], [0.750, 0.750, 0.750]],
  "space_group": "No. 216"
}

ΔE_f, respectively: -0.332 -0.817 -0.801 eV per atom.